(1)
This record from Alexandria via LeMat-Bulk describes a geometry-optimized Na2Ni2Sn structure. The functional is PBE-GGA.

Computed properties:
Energy of formation from the pure elements: 9.5 kJ per mole of atoms
DOS at the Fermi energy: 3.65 states/eV/f.u.
Total magnetic moment: 0.000 μB per atom

Lattice parameters (Å, degrees): 6.3784 6.3784 4.9214 90.00 90.00 90.00
Last column: nearest neighbours and their distance in Å.
Space group P4/mbm (No. 127)
Symmetry-distinct sites (fractional):
1 Na 0.1738 0.3262 0.0000 (multiplicity 4)  6 Ni 3.04-3.14, 5 Na 3.14-3.33
2 Ni 0.1288 0.6288 0.5000 (multiplicity 4)  1 Ni 2.32, 2 Sn 2.51
3 Sn 0.0000 0.0000 0.5000 (multiplicity 2)  4 Ni 2.51

(2)
This record from Alexandria via LeMat-Bulk describes a geometry-optimized Y3BiCl structure. The functional is PBE-GGA.

Computed properties:
DOS at the Fermi energy: 8.64 states/eV/f.u.
Formation energy without anion corrections: -0.527 eV per atom
Total magnetic moment: 0.000 μB per atom
Energy above the lowest structure with this stoichiometry: 0.00 eV/f.u.

Lattice parameters (Å, degrees): 5.1834 5.1834 5.1834 90.00 90.00 90.00
Last column: nearest neighbours and their distance in Å.
Space group Pm-3m (No. 221)
Symmetry-distinct sites (fractional):
1 Y 0.0000 0.0000 0.5000 (multiplicity 3)  2 Cl 2.59
2 Bi 0.5000 0.5000 0.5000 (multiplicity 1)  12 Y 3.67
3 Cl 0.0000 0.0000 0.0000 (multiplicity 1)  6 Y 2.59

(3)
This record from Alexandria via LeMat-Bulk describes a geometry-optimized TaInTe2 structure. The functional is PBE-GGA.

Computed properties:
DOS at the Fermi energy: 2.06 states/eV/f.u.
Formation energy without anion corrections: 0.117 eV per atom
Total magnetic moment: 0.000 μB per atom

Lattice parameters (Å, degrees): 3.5654 3.5654 8.0325 90.00 90.00 90.00
Last column: nearest neighbours and their distance in Å.
Space group P4mm (No. 99)
Symmetry-distinct sites (fractional):
1 Ta 0.0000 0.0000 0.0000 (multiplicity 1)  5 Te 2.97-3.32, 4 In 3.02
2 In 0.5000 0.5000 0.7938 (multiplicity 1)  4 Ta 3.02, 5 Te 3.02-3.22
3 Te 0.0000 0.0000 0.5866 (multiplicity 1)  4 In 3.02, 1 Ta 3.32
4 Te 0.5000 0.5000 0.1945 (multiplicity 1)  4 Ta 2.97, 1 In 3.22

(4)
This record from Alexandria via LeMat-Bulk describes a geometry-optimized Er3Mn structure. The functional is PBE-GGA.

Computed properties:
Energy of formation from the pure elements: 13.6 kJ per mole of atoms
DOS at the Fermi energy: 6.76 states/eV/f.u.
Total magnetic moment: 0.738 μB per atom

Lattice parameters (Å, degrees): 3.6292 10.8793 5.2877 90.00 90.00 90.00
Last column: nearest neighbours and their distance in Å.
Space group Imm2 (No. 44)
Symmetry-distinct sites (fractional):
1 Er 0.0000 0.0000 0.0000 (multiplicity 2)  4 Mn 3.20-3.21, 4 Er 3.49
2 Er 0.0000 0.2096 0.5005 (multiplicity 4)  2 Mn 2.91
3 Mn 0.0000 0.5000 0.9995 (multiplicity 2)  8 Er 2.91-3.21

(5)
This record from Alexandria via LeMat-Bulk describes a geometry-optimized Cd2SbPd8 structure. The functional is PBE-GGA.

Computed properties:
DOS at the Fermi energy: 5.48 states/eV/f.u.
Formation energy without anion corrections: -0.285 eV per atom
Total magnetic moment: 0.000 μB per atom
Energy above the lowest structure with this stoichiometry: 0.08 eV/f.u.

Lattice parameters (Å, degrees): 14.8110 4.2876 5.8469 90.00 97.95 90.00
Last column: nearest neighbours and their distance in Å.
Space group C2/m (No. 12)
Symmetry-distinct sites (fractional):
1 Cd 0.1537 0.0000 0.1955 (multiplicity 4)  10 Pd 2.70-2.94
2 Sb 0.0000 0.5000 0.0000 (multiplicity 2)  8 Pd 2.65-2.74
3 Pd 0.0401 0.0000 0.7412 (multiplicity 4)  2 Sb 2.74, 8 Pd 2.85-2.97, 2 Cd 2.94
4 Pd 0.0890 0.5000 0.4418 (multiplicity 4)  1 Sb 2.73, 9 Pd 2.78-3.06, 2 Cd 2.82
5 Pd 0.1693 0.5000 0.9015 (multiplicity 4)  1 Sb 2.65, 3 Cd 2.76-2.78, 6 Pd 2.78-2.94
6 Pd 0.2241 0.0000 0.6462 (multiplicity 4)  3 Cd 2.70-2.88, 7 Pd 2.80-2.91

(6)
This record from Alexandria via LeMat-Bulk describes a geometry-optimized YZrSN2 structure. The functional is PBE-GGA.

Computed properties:
DOS at the Fermi energy: 3.34 states/eV/f.u.
Formation energy without anion corrections: 0.298 eV per atom
Total magnetic moment: 0.088 μB per atom
Energy above the lowest structure with this stoichiometry: 5.21 eV/f.u.

Lattice parameters (Å, degrees): 4.2299 4.2299 5.1440 90.00 90.00 90.00
Last column: nearest neighbours and their distance in Å.
Space group P4/mmm (No. 123)
Symmetry-distinct sites (fractional):
1 Y 0.0000 0.0000 0.0000 (multiplicity 1)  4 N 2.11
2 Zr 0.5000 0.5000 0.5000 (multiplicity 1)  4 S 2.99, 8 N 3.33
3 S 0.0000 0.0000 0.5000 (multiplicity 1)  2 Y 2.57
4 N 0.0000 0.5000 0.0000 (multiplicity 2)  2 Y 2.11

Number 1: E_tot -3.542 eV/atom. Number 2: E_tot -5.551 eV/atom. Number 3: E_tot -5.101 eV/atom. Number 4: E_tot -5.573 eV/atom. Number 5: E_tot -4.603 eV/atom. Number 6: E_tot -6.860 eV/atom.